Below is a geometry-optimized CrPtO2F structure, with properties calculated at the PBE with a Hubbard U level.

Structure (extended XYZ):
```
5
Lattice="3.948 0.000 0.000 0.000 3.948 0.000 0.000 0.000 3.782" Properties=species:S:1:pos:R:3 pbc="T T T"
Pt 1.974 1.974 1.891
F 0.000 0.000 1.891
O 1.974 0.000 0.000
O 0.000 1.974 0.000
Cr 0.000 0.000 0.000
```

## Properties
SG   P4/mmm, No. 123
VASP energy   -28.60 eV/f.u.